DFT (PBE) results for a relaxed RbIrNO crystal.

Computed properties:
E above lowest polymorph	0	meV/atom

Lattice parameters (Å, degrees): 3.865 6.106 6.557 90.00 90.00 90.00
Sites, in units of the cell vectors:
Rb (0.000, 0.171, 0.000)
Rb (0.000, 0.829, 0.500)
Ir (0.500, 0.378, 0.528)
Ir (0.500, 0.622, 0.028)
N (0.500, 0.451, 0.257)
N (0.500, 0.549, 0.757)
O (0.000, 0.282, 0.549)
O (0.000, 0.718, 0.049)